[1]
8
Lattice="-2.730 -3.857 -0.882 3.014 -0.150 4.428 -2.278 0.657 4.182" Properties=species:S:1:pos:R:3 comment="PBEsol AlPdO2, optimized geometry" formation_energy_uncorrected_ev_per_atom=-1.5874 dos_at_fermi_per_ev_atom=0.400 crystal_system=tetragonal sg="I-42d, No. 122" pbc="T T T"
O -0.319 -0.365 6.791
O -0.056 -1.931 4.417
O -0.759 -1.343 1.674
O -2.855 -3.061 2.575
Al 0.255 -0.875 3.039
Al -2.504 -1.600 1.650
Pd -2.249 -2.475 4.689
Pd 0.000 0.000 0.000

=====

[2]
4
Lattice="3.664 0.000 0.000 1.832 3.173 0.000 1.832 1.058 8.588" Properties=species:S:1:pos:R:3 comment="PBEsol La2TcCl, optimized geometry" formation_energy_uncorrected_ev_per_atom=-0.5528 dos_at_fermi_per_ev_atom=0.657 crystal_system=trigonal e_above_lowest_polymorph_mev_per_atom=188.1 sg="R-3m, No. 166" pbc="T T T"
Cl 0.000 0.000 0.000
Tc 3.664 2.115 4.294
La 1.832 1.058 2.323
La 5.495 3.173 6.266

=====

[3]
4
Lattice="2.984 0.000 0.014 0.000 4.531 0.000 -0.025 0.000 4.995" Properties=species:S:1:pos:R:3 comment="PBEsol MgZn2Au, optimized geometry" formation_energy_ev_per_atom=-0.218 dos_at_fermi_per_ev_atom=0.285 crystal_system=orthorhombic sg="Pmmm, No. 47" pbc="T T T"
Zn 1.477 0.000 3.728
Zn 1.481 0.000 1.281
Au 1.492 2.265 0.007
Mg -0.013 2.265 2.497

=====

[4]
8
Lattice="4.544 0.000 0.000 -2.272 4.497 -0.002 0.000 2.297 3.921" Properties=species:S:1:pos:R:3 comment="PBEsol ScBeO2, optimized geometry" formation_energy_uncorrected_ev_per_atom=-2.4824 dos_at_fermi_per_ev_atom=0.427 crystal_system=tetragonal sg="I-42d, No. 122" pbc="T T T"
Sc 2.272 3.971 2.940
Sc 0.000 0.000 0.000
Be 0.000 2.823 0.979
Be 2.272 1.149 1.960
O 0.755 4.234 1.469
O -0.755 5.383 3.429
O 3.408 2.368 2.122
O 1.136 1.604 0.818

=====

[5]
5
Lattice="4.960 0.000 0.000 0.000 5.851 0.000 0.000 0.000 5.851" Properties=species:S:1:pos:R:3 comment="PBEsol YRhI2O, optimized geometry" formation_energy_uncorrected_ev_per_atom=0.6217 dos_at_fermi_per_ev_atom=1.564 crystal_system=tetragonal sg="P4/mmm, No. 123" pbc="T T T"
I 0.000 0.000 2.926
I 0.000 2.926 0.000
Y 0.000 0.000 0.000
Rh 2.480 0.000 0.000
O 2.480 2.926 2.926

=====

[6]
8
Lattice="4.748 0.000 0.000 0.000 4.748 0.000 0.000 0.000 4.748" Properties=species:S:1:pos:R:3 comment="PBEsol Zn3Cu, optimized geometry" formation_energy_ev_per_atom=0.016 dos_at_fermi_per_ev_atom=0.436 crystal_system=cubic sg="Pm-3n, No. 223" pbc="T T T"
Cu 0.000 0.000 0.000
Cu 2.374 2.374 2.374
Zn 3.561 2.374 0.000
Zn 1.187 2.374 0.000
Zn 0.000 3.561 2.374
Zn 0.000 1.187 2.374
Zn 2.374 0.000 1.187
Zn 2.374 0.000 3.561

=====

[7]
6
Lattice="-4.040 0.286 0.041 -0.282 -4.054 0.461 -0.030 -1.331 6.418" Properties=species:S:1:pos:R:3 comment="PBEsol Ag5Se, optimized geometry" formation_energy_uncorrected_ev_per_atom=0.0002 dos_at_fermi_per_ev_atom=0.245 crystal_system=orthorhombic sg="Cmmm, No. 65" pbc="T T T"
Se -0.141 -2.027 0.230
Ag -2.123 -1.647 2.359
Ag -0.067 -1.566 4.335
Ag -2.020 0.143 0.020
Ag -0.245 -3.820 2.544
Ag -2.229 -3.452 4.560

=====

[8]
5
Lattice="-1.704 -4.358 0.360 1.531 -0.233 4.430 -4.096 1.726 1.506" Properties=species:S:1:pos:R:3 comment="PBEsol Mg3OsPd, optimized geometry" formation_energy_ev_per_atom=0.871 dos_at_fermi_per_ev_atom=0.861 crystal_system=cubic sg="Pm-3m, No. 221" pbc="T T T"
Mg 0.765 -0.116 2.215
Mg -2.048 0.863 0.753
Mg -0.852 -2.179 0.180
Os -2.135 -1.432 3.148
Pd 0.000 0.000 0.000

=====

[9]
18
Lattice="-3.561 -1.641 3.241 4.002 -3.635 6.549 -0.523 5.678 6.293" Properties=species:S:1:pos:R:3 comment="PBEsol Tl2Fe3S4, optimized geometry" formation_energy_uncorrected_ev_per_atom=-0.4318 dos_at_fermi_per_ev_atom=0.688 crystal_system=orthorhombic sg="Ibam, No. 72" pbc="T T T"
Tl -0.834 4.054 7.144
Tl -1.528 0.997 8.826
Tl 1.446 -0.595 7.256
Tl 0.752 -3.652 8.938
Fe -0.021 0.100 4.021
Fe -0.062 0.301 12.062
Fe -1.170 2.582 11.999
Fe 1.047 -1.979 12.124
Fe -1.129 2.381 3.958
Fe 1.088 -2.180 4.083
S 1.404 2.349 8.775
S 0.205 -0.948 13.773
S 0.914 2.201 12.044
S 0.792 -0.755 10.414
S -0.996 -1.799 4.038
S -0.874 1.157 5.668
S -0.287 1.350 2.309
S -1.486 -1.947 7.307

=====

[10]
6
Lattice="6.134 0.000 0.000 3.067 5.312 0.000 3.067 1.771 5.008" Properties=species:S:1:pos:R:3 comment="PBEsol SrIn4Hg, optimized geometry" formation_energy_ev_per_atom=-0.194 dos_at_fermi_per_ev_atom=0.416 crystal_system=cubic sg="F-43m, No. 216" pbc="T T T"
Hg 0.000 0.000 0.000
In 4.596 2.654 1.876
In 6.134 3.541 4.387
In 7.671 2.654 1.876
In 6.134 5.317 1.876
Sr 9.201 5.312 3.756

=====

Number 1: size of the total moment 2.02 μB per cell, VASP energy -6.7246 eV/atom. Number 2: size of the total moment 0.00 μB per cell, VASP energy -6.5445 eV/atom. Number 3: size of the total moment 0.00 μB per cell, VASP energy -2.4191 eV/atom. Number 4: size of the total moment 2.01 μB per cell, VASP energy -7.7583 eV/atom. Number 5: size of the total moment 2.03 μB per cell, VASP energy -4.1270 eV/atom. Number 6: size of the total moment 0.00 μB per cell, VASP energy -2.2536 eV/atom. Number 7: size of the total moment 0.00 μB per cell, VASP energy -3.4008 eV/atom. Number 8: size of the total moment 1.38 μB per cell, VASP energy -3.7941 eV/atom. Number 9: size of the total moment 0.03 μB per cell, VASP energy -5.9527 eV/atom. Number 10: size of the total moment 0.00 μB per cell, VASP energy -2.5834 eV/atom.